Record 1
# AlSnW

A relaxed AlSnW crystal (PBE, OQMD via LeMat-Bulk).

POSCAR file:
```
AlSnW
1.0
0.000 3.120 3.120
3.120 0.000 3.120
3.120 3.120 0.000
Al Sn W
1 1 1
direct
0.000 0.000 0.000
0.750 0.750 0.750
0.250 0.250 0.250
```

The relative energy among the computed polymorphs is 0.51 eV per formula unit. Its crystal system is cubic.

---

Record 2
# Al2ZnSn2

A relaxed Al2ZnSn2 crystal (PBE, OQMD via LeMat-Bulk).

POSCAR file:
```
Al2ZnSn2
1.0
-2.324 2.324 5.854
2.324 -2.324 5.854
2.324 2.324 -5.854
Al Zn Sn
2 1 2
direct
0.108 0.108 0.000
0.892 0.892 0.000
0.500 0.500 0.000
0.250 0.750 0.500
0.750 0.250 0.500
```

Its crystal system is tetragonal. The calculation puts the final energy at -3.069 eV per atom.

---

Record 3
# Al2ZnSn

A relaxed Al2ZnSn crystal (PBE, OQMD via LeMat-Bulk).

POSCAR file:
```
Al2ZnSn
1.0
0.000 3.407 3.407
3.407 0.000 3.407
3.407 3.407 0.000
Al Zn Sn
2 1 1
direct
0.000 0.000 0.000
0.250 0.250 0.250
0.750 0.750 0.750
0.500 0.500 0.500
```

Its crystal system is cubic. The calculation puts the final energy at -2.982 eV per atom.